A plane-wave DFT calculation with GGA-PBE was carried out for a relaxed structure of TlZnHg2.

a = 3.424 Å, b = 3.424 Å, c = 8.590 Å
α = 90.00°, β = 90.00°, γ = 99.86°
Fractional positions:
Tl (0.000, 0.000, 0.000)
Zn (0.000, 0.000, 0.500)
Hg (0.500, 0.500, 0.288)
Hg (0.500, 0.500, 0.712)

M_tot   0.0 μB/f.u.
Mass density   11.2 g cm⁻³
ΔE_f   0.061 eV/atom
Space-group type   Cmmm (65)

=====

A plane-wave DFT calculation with GGA-PBE was carried out for a relaxed structure of TlZnHg2.

a = 5.665 Å, b = 5.665 Å, c = 3.505 Å
α = 93.48°, β = 93.48°, γ = 111.19°
Fractional positions:
Tl (0.000, 0.000, 0.000)
Zn (0.500, 0.500, 0.000)
Hg (0.000, 0.500, 0.500)
Hg (0.500, 0.000, 0.500)

M_tot   0.0 μB/f.u.
Mass density   10.7 g cm⁻³
ΔE_f   0.108 eV/atom
Space-group type   C2/m (12)

=====

A plane-wave DFT calculation with GGA-PBE was carried out for a relaxed structure of Tl2Zn2Hg.

a = 6.907 Å, b = 6.907 Å, c = 6.907 Å
α = 140.37°, β = 140.37°, γ = 57.29°
Fractional positions:
Tl (0.250, 0.750, 0.500)
Tl (0.750, 0.250, 0.500)
Zn (0.100, 0.100, 0.000)
Zn (0.900, 0.900, 0.000)
Hg (0.500, 0.500, 0.000)

M_tot   0.0 μB/f.u.
Mass density   9.2 g cm⁻³
ΔE_f   0.206 eV/atom
Space-group type   I4/mmm (139)

=====

A plane-wave DFT calculation with GGA-PBE was carried out for a relaxed structure of TlZn2Hg.

a = 8.488 Å, b = 8.488 Å, c = 8.488 Å
α = 24.54°, β = 24.54°, γ = 24.54°
Fractional positions:
Tl (0.000, 0.000, 0.000)
Zn (0.578, 0.578, 0.578)
Zn (0.757, 0.757, 0.757)
Hg (0.168, 0.168, 0.168)

M_tot   0.0 μB/f.u.
Mass density   9.6 g cm⁻³
ΔE_f   0.167 eV/atom
Space-group type   R3m (160)

=====

A plane-wave DFT calculation with GGA-PBE was carried out for a relaxed structure of TlZn2Hg.

a = 6.335 Å, b = 6.335 Å, c = 6.335 Å
α = 104.16°, β = 104.16°, γ = 120.71°
Fractional positions:
Tl (0.000, 0.000, 0.000)
Tl (0.750, 0.250, 0.500)
Zn (0.141, 0.625, 0.016)
Zn (0.375, 0.391, 0.516)
Zn (0.609, 0.125, 0.984)
Zn (0.875, 0.859, 0.484)
Hg (0.250, 0.750, 0.500)
Hg (0.500, 0.500, 0.000)

M_tot   0.0 μB/f.u.
Mass density   9.4 g cm⁻³
ΔE_f   0.186 eV/atom
Space-group type   I-42d (122)

=====

A plane-wave DFT calculation with GGA-PBE was carried out for a relaxed structure of TlZn2Hg.

a = 5.765 Å, b = 5.765 Å, c = 5.765 Å
α = 136.25°, β = 136.25°, γ = 63.60°
Fractional positions:
Tl (0.000, 0.000, 0.000)
Zn (0.250, 0.750, 0.500)
Zn (0.500, 0.500, 0.000)
Hg (0.750, 0.250, 0.500)

M_tot   0.0 μB/f.u.
Mass density   9.8 g cm⁻³
ΔE_f   0.177 eV/atom
Space-group type   I-4m2 (119)

=====

A plane-wave DFT calculation with GGA-PBE was carried out for a relaxed structure of TlZn2Hg.

a = 3.559 Å, b = 3.559 Å, c = 7.054 Å
α = 90.00°, β = 90.00°, γ = 90.00°
Fractional positions:
Tl (0.000, 0.000, 0.000)
Zn (0.500, 0.500, 0.283)
Zn (0.500, 0.500, 0.717)
Hg (0.000, 0.000, 0.500)

M_tot   0.0 μB/f.u.
Mass density   10.0 g cm⁻³
ΔE_f   0.158 eV/atom
Space-group type   P4/mmm (123)

=====

A plane-wave DFT calculation with GGA-PBE was carried out for a relaxed structure of TlZn2Hg.

a = 3.374 Å, b = 3.918 Å, c = 6.970 Å
α = 90.00°, β = 100.74°, γ = 90.00°
Fractional positions:
Tl (0.000, 0.000, 0.000)
Zn (0.485, 0.500, 0.282)
Zn (0.515, 0.500, 0.718)
Hg (0.000, 0.000, 0.500)

M_tot   0.0 μB/f.u.
Mass density   9.8 g cm⁻³
ΔE_f   0.165 eV/atom
Space-group type   P2/m (10)

=====

A plane-wave DFT calculation with GGA-PBE was carried out for a relaxed structure of Tl3ZnHg6.

a = 9.105 Å, b = 5.367 Å, c = 11.694 Å
α = 90.00°, β = 108.76°, γ = 90.00°
Fractional positions:
Tl (0.049, 0.250, 0.399)
Tl (0.147, 0.750, 0.217)
Tl (0.275, 0.250, 0.004)
Tl (0.725, 0.750, 0.996)
Tl (0.853, 0.250, 0.783)
Tl (0.951, 0.750, 0.601)
Zn (0.453, 0.250, 0.590)
Zn (0.547, 0.750, 0.410)
Hg (0.048, 0.750, 0.909)
Hg (0.177, 0.250, 0.692)
Hg (0.279, 0.750, 0.515)
Hg (0.344, 0.750, 0.813)
Hg (0.372, 0.250, 0.318)
Hg (0.455, 0.750, 0.135)
Hg (0.545, 0.250, 0.865)
Hg (0.628, 0.750, 0.682)
Hg (0.656, 0.250, 0.187)
Hg (0.721, 0.250, 0.485)
Hg (0.823, 0.750, 0.308)
Hg (0.952, 0.250, 0.091)

M_tot   0.0 μB/f.u.
Mass density   11.6 g cm⁻³
ΔE_f   0.018 eV/atom
Space-group type   P2_1/m (11)

=====

A plane-wave DFT calculation with GGA-PBE was carried out for a relaxed structure of Tl2ZnHg.

a = 11.475 Å, b = 11.475 Å, c = 11.475 Å
α = 157.24°, β = 157.24°, γ = 32.41°
Fractional positions:
Tl (0.119, 0.625, 0.994)
Tl (0.375, 0.369, 0.494)
Tl (0.631, 0.125, 0.006)
Tl (0.875, 0.881, 0.506)
Zn (0.000, 0.000, 0.000)
Zn (0.750, 0.250, 0.500)
Hg (0.250, 0.750, 0.500)
Hg (0.500, 0.500, 0.000)

M_tot   0.0 μB/f.u.
Mass density   9.9 g cm⁻³
ΔE_f   0.158 eV/atom
Space-group type   I-42d (122)

=====

A plane-wave DFT calculation with GGA-PBE was carried out for a relaxed structure of Tl6ZnHg8.

a = 7.893 Å, b = 7.893 Å, c = 7.893 Å
α = 69.86°, β = 69.86°, γ = 69.86°
Fractional positions:
Tl (0.175, 0.624, 0.432)
Tl (0.376, 0.568, 0.824)
Tl (0.432, 0.175, 0.624)
Tl (0.568, 0.824, 0.376)
Tl (0.624, 0.432, 0.175)
Tl (0.825, 0.376, 0.568)
Zn (0.000, 0.000, 0.000)
Hg (0.045, 0.362, 0.878)
Hg (0.122, 0.955, 0.638)
Hg (0.239, 0.239, 0.239)
Hg (0.362, 0.878, 0.045)
Hg (0.638, 0.122, 0.955)
Hg (0.761, 0.761, 0.761)
Hg (0.878, 0.045, 0.362)
Hg (0.955, 0.638, 0.122)

M_tot   0.0 μB/f.u.
Mass density   11.5 g cm⁻³
ΔE_f   0.025 eV/atom
Space-group type   R-3 (148)

=====

A plane-wave DFT calculation with GGA-PBE was carried out for a relaxed structure of TlZnHg5.

a = 6.510 Å, b = 6.510 Å, c = 5.478 Å
α = 114.40°, β = 114.40°, γ = 69.52°
Fractional positions:
Tl (0.000, 0.000, 0.000)
Zn (0.500, 0.500, 0.500)
Hg (0.019, 0.609, 0.313)
Hg (0.391, 0.981, 0.687)
Hg (0.500, 0.500, 0.000)
Hg (0.609, 0.019, 0.313)
Hg (0.981, 0.391, 0.687)

M_tot   0.0 μB/f.u.
Mass density   11.2 g cm⁻³
ΔE_f   0.032 eV/atom
Space-group type   C2/m (12)